Compound: SrAl4Ga2
Source: Alexandria
Functional: PBE
Structure: relaxed

CIF file:
```
data_SrAl4Ga2
_cell_length_a 5.795
_cell_length_b 5.795
_cell_length_c 13.889
_cell_angle_alpha 90.00
_cell_angle_beta 90.00
_cell_angle_gamma 90.00
_symmetry_space_group_name_H-M 'I 4/m m m'
_symmetry_Int_Tables_number 139
_symmetry_space_group_name_Hall '-I 4 2'
loop_
_atom_site_label
_atom_site_fract_x
_atom_site_fract_y
_atom_site_fract_z
_atom_site_occupancy
Sr1 0.000 0.000 0.000 1
Al1 0.000 0.000 0.229 1
Al2 0.000 0.500 0.000 1
Ga1 0.000 0.000 0.411 1
```

Results
**Offset from the most stable computed form**: 1069 meV per atom
**ΔH_f (0 K)**: 6.03 eV per formula unit
**Size of the total moment**: 0.00 μB per formula unit

***

Compound: Th2ZrV
Source: Alexandria
Functional: PBE
Structure: relaxed

CIF file:
```
data_Th2ZrV
_cell_length_a 3.2961
_cell_length_b 3.2961
_cell_length_c 33.5305
_cell_angle_alpha 90.00
_cell_angle_beta 90.00
_cell_angle_gamma 120.00
_symmetry_space_group_name_H-M 'R -3 m'
_symmetry_Int_Tables_number 166
_symmetry_space_group_name_Hall '-R 3 2"'
loop_
_atom_site_label
_atom_site_fract_x
_atom_site_fract_y
_atom_site_fract_z
_atom_site_occupancy
Th1 0.0000 0.0000 0.0813 1
Zr1 0.0000 0.0000 0.5000 1
V1 0.0000 0.0000 0.0000 1
```

Results
**ΔH_f (0 K)**: 2.53 eV per formula unit
**Size of the total moment**: 2.17 μB per formula unit

***

Compound: Ni2PdSe6
Source: Alexandria
Functional: PBE
Structure: relaxed

CIF file:
```
data_Ni2PdSe6
_cell_length_a 10.767
_cell_length_b 3.715
_cell_length_c 10.639
_cell_angle_alpha 90.00
_cell_angle_beta 117.07
_cell_angle_gamma 90.00
_symmetry_space_group_name_H-M 'C 1 2/m 1'
_symmetry_Int_Tables_number 12
loop_
_symmetry_equiv_pos_as_xyz
'x,y,z'
'-x,-y,-z'
'-x,y,-z'
'x,-y,z'
'x+1/2,y+1/2,z'
'-x+1/2,-y+1/2,-z'
'-x+1/2,y+1/2,-z'
'x+1/2,-y+1/2,z'
loop_
_atom_site_label
_atom_site_fract_x
_atom_site_fract_y
_atom_site_fract_z
_atom_site_occupancy
Ni1 0.168 0.000 0.338 1
Pd1 0.000 0.500 0.000 1
Se1 0.053 0.000 0.868 1
Se2 0.114 0.500 0.452 1
Se3 0.227 0.500 0.227 1
```

Results
**Offset from the most stable computed form**: 0 meV per atom
**Size of the total moment**: 0.00 μB per formula unit
**Formation energy from raw total energies**: -0.248 eV per atom

***

Compound: NiAgMo2
Source: Alexandria
Functional: PBE
Structure: relaxed

CIF file:
```
data_NiAgMo2
_cell_length_a 2.653
_cell_length_b 3.966
_cell_length_c 5.764
_cell_angle_alpha 90.00
_cell_angle_beta 90.00
_cell_angle_gamma 90.00
_symmetry_space_group_name_H-M 'P m m 2'
_symmetry_Int_Tables_number 25
loop_
_symmetry_equiv_pos_as_xyz
'x,y,z'
'-x,-y,z'
'-x,y,z'
'x,-y,z'
loop_
_atom_site_label
_atom_site_fract_x
_atom_site_fract_y
_atom_site_fract_z
_atom_site_occupancy
Ni1 0.000 0.000 0.000 1
Ag1 0.500 0.500 0.249 1
Mo1 0.000 0.000 0.525 1
Mo2 0.500 0.500 0.776 1
```

Results
**Offset from the most stable computed form**: 136 meV per atom
**ΔH_f (0 K)**: 1.35 eV per formula unit
**Size of the total moment**: 0.00 μB per formula unit

***

Compound: YBe2Tc
Source: Alexandria
Functional: PBE
Structure: relaxed

CIF file:
```
data_YBe2Tc
_cell_length_a 3.991
_cell_length_b 4.078
_cell_length_c 7.207
_cell_angle_alpha 90.00
_cell_angle_beta 90.00
_cell_angle_gamma 90.00
_symmetry_space_group_name_H-M 'I m m m'
_symmetry_Int_Tables_number 71
_symmetry_space_group_name_Hall '-I 2 2'
loop_
_atom_site_label
_atom_site_fract_x
_atom_site_fract_y
_atom_site_fract_z
_atom_site_occupancy
Y1 0.000 0.000 0.000 1
Be1 0.000 0.500 0.247 1
Tc1 0.000 0.000 0.500 1
```

Results
**Offset from the most stable computed form**: 206 meV per atom
**ΔH_f (0 K)**: 0.47 eV per formula unit
**Size of the total moment**: 0.00 μB per formula unit

***

Compound: RbMgSe2O
Source: Alexandria
Functional: PBE
Structure: relaxed

CIF file:
```
data_RbMgSe2O
_cell_length_a 5.671
_cell_length_b 5.671
_cell_length_c 3.739
_cell_angle_alpha 90.00
_cell_angle_beta 90.00
_cell_angle_gamma 90.00
_symmetry_space_group_name_H-M 'P 4/m m m'
_symmetry_Int_Tables_number 123
_symmetry_space_group_name_Hall '-P 4 2'
loop_
_atom_site_label
_atom_site_fract_x
_atom_site_fract_y
_atom_site_fract_z
_atom_site_occupancy
Rb1 0.000 0.000 0.000 1
Mg1 0.500 0.500 0.000 1
Se1 0.000 0.500 0.500 1
O1 0.500 0.500 0.500 1
```

Results
**Size of the total moment**: 0.00 μB per formula unit
**Formation energy from raw total energies**: -0.630 eV per atom

***

Compound: Pm4PdSe2S
Source: Alexandria
Functional: PBE
Structure: relaxed

CIF file:
```
data_Pm4PdSe2S
_cell_length_a 7.253
_cell_length_b 4.099
_cell_length_c 7.270
_cell_angle_alpha 90.00
_cell_angle_beta 109.09
_cell_angle_gamma 90.00
_symmetry_space_group_name_H-M 'P 1 2/m 1'
_symmetry_Int_Tables_number 10
loop_
_symmetry_equiv_pos_as_xyz
'x,y,z'
'-x,-y,-z'
'-x,y,-z'
'x,-y,z'
loop_
_atom_site_label
_atom_site_fract_x
_atom_site_fract_y
_atom_site_fract_z
_atom_site_occupancy
Pm1 0.240 0.000 0.241 1
Pm2 0.252 0.500 0.760 1
Pd1 0.500 0.000 0.000 1
Se1 0.000 0.000 0.500 1
Se2 0.500 0.500 0.500 1
S1 0.000 0.500 0.000 1
```

Results
**Size of the total moment**: 0.00 μB per formula unit
**Formation energy from raw total energies**: -1.600 eV per atom

***

Compound: TaAl2V2
Source: Alexandria
Functional: PBE
Structure: relaxed

CIF file:
```
data_TaAl2V2
_cell_length_a 4.561
_cell_length_b 12.450
_cell_length_c 5.408
_cell_angle_alpha 90.00
_cell_angle_beta 90.10
_cell_angle_gamma 90.00
_symmetry_space_group_name_H-M 'C 1 2/c 1'
_symmetry_Int_Tables_number 15
loop_
_symmetry_equiv_pos_as_xyz
'x,y,z'
'-x,-y,-z'
'-x,y,-z+1/2'
'x,-y,z+1/2'
'x+1/2,y+1/2,z'
'-x+1/2,-y+1/2,-z'
'-x+1/2,y+1/2,-z+1/2'
'x+1/2,-y+1/2,z+1/2'
loop_
_atom_site_label
_atom_site_fract_x
_atom_site_fract_y
_atom_site_fract_z
_atom_site_occupancy
Ta1 0.000 0.103 0.250 1
Al1 0.000 0.310 0.001 1
V1 0.000 0.116 0.750 1
V2 0.000 0.493 0.250 1
```

Results
**Offset from the most stable computed form**: 46 meV per atom
**ΔH_f (0 K)**: -0.37 eV per formula unit
**Size of the total moment**: 0.00 μB per formula unit

***

Compound: MoRh2I
Source: Alexandria
Functional: PBE
Structure: relaxed

CIF file:
```
data_MoRh2I
_cell_length_a 6.244
_cell_length_b 6.244
_cell_length_c 9.886
_cell_angle_alpha 90.00
_cell_angle_beta 90.00
_cell_angle_gamma 90.00
_symmetry_space_group_name_H-M 'I -4 2 d'
_symmetry_Int_Tables_number 122
_symmetry_space_group_name_Hall 'I -4 2bw'
loop_
_atom_site_label
_atom_site_fract_x
_atom_site_fract_y
_atom_site_fract_z
_atom_site_occupancy
Mo1 0.000 0.000 0.000 1
Rh1 0.214 0.250 0.125 1
I1 0.000 0.000 0.500 1
```

Results
**Offset from the most stable computed form**: 0 meV per atom
**Size of the total moment**: 0.00 μB per formula unit
**Formation energy from raw total energies**: 0.723 eV per atom

***

Compound: Pm10SmDy4
Source: Alexandria
Functional: PBE
Structure: relaxed

CIF file:
```
data_Pm10SmDy4
_cell_length_a 12.331
_cell_length_b 12.331
_cell_length_c 7.779
_cell_angle_alpha 90.00
_cell_angle_beta 90.00
_cell_angle_gamma 90.00
_symmetry_space_group_name_H-M 'I 4/m'
_symmetry_Int_Tables_number 87
_symmetry_space_group_name_Hall '-I 4'
loop_
_atom_site_label
_atom_site_fract_x
_atom_site_fract_y
_atom_site_fract_z
_atom_site_occupancy
Pm1 0.000 0.500 0.250 1
Pm2 0.100 0.201 0.249 1
Sm1 0.000 0.000 0.500 1
Dy1 0.100 0.700 0.000 1
```

Results
**ΔH_f (0 K)**: 10.58 eV per formula unit
**Size of the total moment**: 0.00 μB per formula unit

***

Compound: Na2Al2Pt
Source: Alexandria
Functional: PBE
Structure: relaxed

CIF file:
```
data_Na2Al2Pt
_cell_length_a 6.498
_cell_length_b 6.498
_cell_length_c 5.228
_cell_angle_alpha 90.00
_cell_angle_beta 90.00
_cell_angle_gamma 90.00
_symmetry_space_group_name_H-M 'P 4/m b m'
_symmetry_Int_Tables_number 127
_symmetry_space_group_name_Hall '-P 4 2ab'
loop_
_atom_site_label
_atom_site_fract_x
_atom_site_fract_y
_atom_site_fract_z
_atom_site_occupancy
Na1 0.180 0.320 0.000 1
Al1 0.150 0.650 0.500 1
Pt1 0.000 0.000 0.500 1
```

Results
**Offset from the most stable computed form**: 0 meV per atom
**ΔH_f (0 K)**: -1.26 eV per formula unit
**Size of the total moment**: 0.00 μB per formula unit

***

Compound: PrHoPtRh
Source: Alexandria
Functional: PBE
Structure: relaxed

CIF file:
```
data_PrHoPtRh
_cell_length_a 4.446
_cell_length_b 3.849
_cell_length_c 10.686
_cell_angle_alpha 90.00
_cell_angle_beta 90.00
_cell_angle_gamma 90.00
_symmetry_space_group_name_H-M 'A m m 2'
_symmetry_Int_Tables_number 38
loop_
_symmetry_equiv_pos_as_xyz
'x,y,z'
'-x,-y,z'
'-x,y,z'
'x,-y,z'
'x,y+1/2,z+1/2'
'-x,-y+1/2,z+1/2'
'-x,y+1/2,z+1/2'
'x,-y+1/2,z+1/2'
loop_
_atom_site_label
_atom_site_fract_x
_atom_site_fract_y
_atom_site_fract_z
_atom_site_occupancy
Pr1 0.000 0.000 0.000 1
Ho1 0.500 0.000 0.719 1
Pt1 0.500 0.000 0.437 1
Rh1 0.000 0.000 0.265 1
```

Results
**Offset from the most stable computed form**: 0 meV per atom
**ΔH_f (0 K)**: -3.88 eV per formula unit
**Size of the total moment**: 0.00 μB per formula unit

***

Compound: Cu2TcMo
Source: Alexandria
Functional: PBE
Structure: relaxed

CIF file:
```
data_Cu2TcMo
_cell_length_a 2.7046
_cell_length_b 2.7046
_cell_length_c 26.4617
_cell_angle_alpha 90.00
_cell_angle_beta 90.00
_cell_angle_gamma 120.00
_symmetry_space_group_name_H-M 'R 3 m'
_symmetry_Int_Tables_number 160
_symmetry_space_group_name_Hall 'R 3 -2"'
loop_
_atom_site_label
_atom_site_fract_x
_atom_site_fract_y
_atom_site_fract_z
_atom_site_occupancy
Cu1 0.0000 0.0000 0.0000 1
Cu2 0.0000 0.0000 0.2561 1
Tc1 0.0000 0.0000 0.5061 1
Mo1 0.0000 0.0000 0.7525 1
```

Results
**Offset from the most stable computed form**: 63 meV per atom
**ΔH_f (0 K)**: 0.91 eV per formula unit
**Size of the total moment**: 0.00 μB per formula unit

***

| no. | Fermi-level density of states (states/eV per cell) |
| --- | --- |
| 1 | 11.87 |
| 2 | 21.13 |
| 3 | 7.70 |
| 4 | 2.83 |
| 5 | 2.89 |
| 6 | 3.60 |
| 7 | 3.97 |
| 8 | 12.26 |
| 9 | 22.01 |
| 10 | 39.59 |
| 11 | 4.47 |
| 12 | 5.03 |
| 13 | 7.76 |